Compound: Y3Hg
Source: the Alexandria database
Functional: SCAN
Structure: single point on PBEsol structure

Structure (CIF):
```
data_Y3Hg
_chemical_formula_sum 'Y3 Hg1'
_space_group_name_H-M_alt 'P 4/m m m'
_space_group_IT_number 123
_space_group_name_Hall '-P 4 2'
_cell_length_a 3.568
_cell_length_b 3.568
_cell_length_c 8.709
_cell_angle_alpha 90.00
_cell_angle_beta 90.00
_cell_angle_gamma 90.00
loop_
_atom_site_label
_atom_site_type_symbol
_atom_site_fract_x
_atom_site_fract_y
_atom_site_fract_z
Y1 Y 0.000 0.000 0.000
Y2 Y 0.500 0.500 0.281
Hg1 Hg 0.000 0.000 0.500
```

**E**: -38.27 eV/atom
**Volume**: 110.86 Å³ per cell
**DFT formation energy**: -0.341 eV/atom
**Total moment**: 0.00 Bohr magnetons per cell



Compound: Fe2IrOs
Source: the Alexandria database
Functional: SCAN
Structure: single point on PBEsol structure

Structure (CIF):
```
data_Fe2IrOs
_chemical_formula_sum 'Fe2 Ir1 Os1'
_space_group_name_H-M_alt 'P 4/m m m'
_space_group_IT_number 123
_space_group_name_Hall '-P 4 2'
_cell_length_a 3.676
_cell_length_b 3.676
_cell_length_c 3.567
_cell_angle_alpha 90.00
_cell_angle_beta 90.00
_cell_angle_gamma 90.00
loop_
_atom_site_label
_atom_site_type_symbol
_atom_site_fract_x
_atom_site_fract_y
_atom_site_fract_z
Fe1 Fe 0.000 0.500 0.000
Ir1 Ir 0.000 0.000 0.500
Os1 Os 0.500 0.500 0.500
```

**E**: -44.57 eV/atom
**Volume**: 48.21 Å³ per cell
**DFT formation energy**: 0.239 eV/atom
**Total moment**: 0.00 Bohr magnetons per cell